Compound: SrTe4P
Source: Alexandria
Functional: PBE-GGA
Structure: optimized geometry

Cell and atoms, written as POSCAR:
```
SrTe4P
1.0
1.9115 -5.7415 1.9438
3.9304 -0.5279 4.9669
-2.1307 -2.3649 5.5013
Te P Sr
4 1 1
Cartesian
1.3947 -3.2448 4.6645
0.3362 -4.4196 7.3974
2.3443 -6.0971 5.6301
3.3473 -3.5070 7.1319
2.7835 -6.4757 9.3090
0.0000 0.0000 0.0000
```

Summary:
Total moment: 0.0 μB per cell
Raw formation energy: 0.14 eV per atom
Raw total energy: -3.135 eV per atom